Entry 1:
Entry from Alexandria via LeMat-Bulk: a relaxed TlIn2W crystal (GGA-PBE).

Structure (POSCAR):
```
TlIn2W
1.0
11.0188 -0.0259 -0.0151
10.5875 3.0528 -0.0151
10.5875 1.4832 2.6683
W In Tl
1 2 1
Cartesian
24.1453 3.3826 1.9785 W
15.7585 2.2077 1.2913 In
0.3384 0.0474 0.0277 In
8.0484 1.1275 0.6595 Tl
```

Output
SG: R-3m, No. 166
Distance to the lowest polymorph of the same formula, eV per formula unit: 0.00
Energy of formation from the pure elements, eV per atom: 0.51
Total DFT energy (no corrections), eV/cell: -18.74

***

Entry 2:
Entry from Alexandria via LeMat-Bulk: a relaxed TlIn2W crystal (GGA-PBE).

Structure (POSCAR):
```
TlIn2W
1.0
-0.3544 -1.0375 -2.7528
2.7607 0.8404 -0.6722
3.6713 -9.5573 3.1293
W In Tl
1 2 1
Cartesian
4.0106 -7.4068 0.6804 W
3.5522 -9.2472 3.0278 In
2.0527 -2.3100 -0.9884 In
1.9692 -5.1262 1.6784 Tl
```

Output
SG: P4mm, No. 99
Distance to the lowest polymorph of the same formula, eV per formula unit: 0.43
Energy of formation from the pure elements, eV per atom: 0.62
Total DFT energy (no corrections), eV/cell: -18.31

***

Entry 3:
Entry from Alexandria via LeMat-Bulk: a relaxed TlIn2W crystal (GGA-PBE).

Structure (POSCAR):
```
TlIn2W
1.0
5.0771 0.0000 0.0000
2.5386 4.3969 0.0000
2.5386 1.4656 4.1455
In Tl W
2 1 1
Cartesian
2.5386 1.4656 1.0364 In
0.0000 0.0000 0.0000 In
5.0771 2.9313 2.0727 Tl
7.6157 4.3969 3.1091 W
```

Output
SG: F-43m, No. 216
Distance to the lowest polymorph of the same formula, eV per formula unit: 2.09
Energy of formation from the pure elements, eV per atom: 1.04
Total DFT energy (no corrections), eV/cell: -16.65

***

Entry 4:
Entry from Alexandria via LeMat-Bulk: a relaxed TlIn2W crystal (GGA-PBE).

Structure (POSCAR):
```
TlIn2W
1.0
-0.4374 -1.2770 -2.6695
2.9455 -0.0707 0.5170
-1.0812 -9.7266 4.8300
In W Tl
2 1 1
Cartesian
-1.0489 -9.4356 4.6855 In
1.0016 -2.9448 0.0514 In
0.4289 -8.0964 2.6096 W
-0.5766 -5.1873 2.5759 Tl
```

Output
SG: Cmm2, No. 35
Distance to the lowest polymorph of the same formula, eV per formula unit: 0.34
Energy of formation from the pure elements, eV per atom: 0.60
Total DFT energy (no corrections), eV/cell: -18.40